This record from the Alexandria database describes an optimized crystal structure of MoW2Au. The functional is PBE.

Lattice parameters (Å, degrees): 2.7014 2.7014 9.0600 90.00 90.00 90.00
Space group P4/mmm (No. 123)
Inequivalent atoms, fractional coordinates:
1 Mo 0.0000 0.0000 0.0000
2 W 0.5000 0.5000 0.2499
3 Au 0.0000 0.0000 0.5000

Output
Relative energy among the computed polymorphs   190.8 meV per atom
Uncorrected energy   -38.47 eV per cell
Energy of formation from the pure elements   0.386 eV per atom
Total magnetization   0.00 μB/f.u.
Volume   16.53 A^3/atom